The following is a PBE-GGA calculation of Mg6PtAu2 after structural relaxation, from the Alexandria database.

Unit cell a=4.556 b=6.432 c=7.763 alpha=114.47 beta=106.91 gamma=90.00
Fractional coordinates of all 9 atoms:
Mg 0.163 0.410 0.325
Mg 0.837 0.085 0.675
Mg 0.837 0.590 0.675
Mg 0.500 0.236 0.000
Mg 0.163 0.915 0.325
Mg 0.500 0.764 0.000
Pt 0.000 0.000 0.000
Au 0.667 0.667 0.333
Au 0.333 0.333 0.667

* calculated formation energy: -4.6 eV per formula unit
* E above lowest polymorph: 0.0 kJ/mol of atoms
* calculated total energy: -2.9755 eV/atom
* DOS(E_F): 3.01 states/eV/cell

The following is a PBE-GGA calculation of BaLi2As after structural relaxation, from the Alexandria database.

Unit cell a=4.403 b=4.403 c=6.331 alpha=69.65 beta=69.65 gamma=59.98
Fractional coordinates of all 4 atoms:
As 0.250 0.250 0.250
Ba 0.750 0.750 0.750
Li 0.944 0.944 0.167
Li 0.556 0.556 0.333

* calculated formation energy: -2.5 eV per formula unit
* calculated total energy: -3.2367 eV/atom
* DOS(E_F): 1.39 states/eV/cell

The following is a PBE-GGA calculation of Cr2AsRu after structural relaxation, from the Alexandria database.

Unit cell a=4.675 b=4.675 c=4.675 alpha=132.78 beta=132.85 gamma=68.95
Fractional coordinates of all 4 atoms:
As 0.250 0.750 0.500
Cr 0.000 0.000 0.000
Cr 0.750 0.250 0.500
Ru 0.500 0.500 0.000

* calculated formation energy: 0.1 eV per formula unit
* calculated total energy: -8.2803 eV/atom
* DOS(E_F): 3.43 states/eV/cell

The following is a PBE-GGA calculation of Ba2Na2Sr5Ca after structural relaxation, from the Alexandria database.

Unit cell a=5.697 b=13.648 c=13.648 alpha=90.00 beta=90.00 gamma=90.00
Fractional coordinates of all 20 atoms:
Ba 0.000 0.676 0.176
Ba 0.000 0.324 0.824
Ba 0.000 0.176 0.324
Ba 0.000 0.824 0.676
Na 0.000 0.122 0.622
Na 0.000 0.878 0.378
Na 0.000 0.622 0.878
Na 0.000 0.378 0.122
Sr 0.500 0.202 0.068
Sr 0.500 0.798 0.932
Sr 0.500 0.068 0.798
Sr 0.500 0.702 0.432
Sr 0.500 0.932 0.202
Sr 0.500 0.298 0.568
Sr 0.500 0.568 0.702
Sr 0.500 0.432 0.298
Sr 0.500 0.500 0.000
Sr 0.500 0.000 0.500
Ca 0.000 0.000 0.000
Ca 0.000 0.500 0.500

* calculated formation energy: 0.5 eV per formula unit
* calculated total energy: -1.6366 eV/atom
* DOS(E_F): 21.91 states/eV/cell

The following is a PBE-GGA calculation of Nd2HoTe after structural relaxation, from the Alexandria database.

Unit cell a=3.999 b=3.999 c=10.151 alpha=78.64 beta=78.64 gamma=60.00
Fractional coordinates of all 4 atoms:
Nd 0.073 0.073 0.781
Nd 0.261 0.261 0.218
Ho 0.500 0.500 0.501
Te 0.667 0.667 0.000

* E above lowest polymorph: 3.3 kJ/mol of atoms
* calculated total energy: -4.8531 eV/atom
* DOS(E_F): 4.88 states/eV/cell

The following is a PBE-GGA calculation of Pr2HgPd4 after structural relaxation, from the Alexandria database.

Unit cell a=5.042 b=5.042 c=8.103 alpha=108.13 beta=108.13 gamma=90.00
Fractional coordinates of all 7 atoms:
Pr 0.630 0.630 0.260
Pr 0.370 0.370 0.740
Hg 0.000 0.000 0.000
Pd 0.815 0.815 0.629
Pd 0.185 0.185 0.371
Pd 0.000 0.500 0.000
Pd 0.500 0.000 0.000

* calculated formation energy: -0.6 eV per formula unit
* calculated total energy: -4.4605 eV/atom
* DOS(E_F): 4.01 states/eV/cell

The following is a PBE-GGA calculation of TiMn2CuH after structural relaxation, from the Alexandria database.

Unit cell a=3.754 b=3.754 c=3.848 alpha=90.00 beta=90.00 gamma=90.00
Fractional coordinates of all 5 atoms:
H 0.000 0.000 0.000
Mn 0.000 0.500 0.000
Mn 0.500 0.000 0.000
Cu 0.500 0.500 0.500
Ti 0.000 0.000 0.500

* calculated total energy: -6.7957 eV/atom
* DOS(E_F): 3.66 states/eV/cell

The following is a PBE-GGA calculation of Cu3Pt after structural relaxation, from the Alexandria database.

Unit cell a=4.564 b=4.564 c=10.577 alpha=150.35 beta=150.35 gamma=35.09
Fractional coordinates of all 4 atoms:
Cu 0.991 0.991 0.994
Cu 0.009 0.009 0.506
Cu 0.000 0.000 0.750
Pt 0.000 0.000 0.250

* calculated formation energy: -0.5 eV per formula unit
* calculated total energy: -4.7086 eV/atom
* DOS(E_F): 1.05 states/eV/cell